Density functional theory data (GGA+U) for a relaxed Li2Ti4NiP4O20 crystal.

```
Li2Ti4NiP4O20
1.0
6.4691 0.0000 0.0000
-0.1011 7.3596 0.0000
-0.0384 -0.0205 7.4489
Li Ti Ni P O
2 4 1 4 20
Direct
0.0000 0.0000 0.0000
0.5000 0.0000 0.0000
0.2363 0.7760 0.6634
0.2499 0.7192 0.1628
0.7501 0.2808 0.8372
0.7637 0.2240 0.3366
0.5000 0.5000 0.5000
0.2528 0.1222 0.3738
0.2541 0.3721 0.8732
0.7459 0.6279 0.1268
0.7472 0.8778 0.6262
0.0574 0.2393 0.3720
0.0571 0.2514 0.8608
0.2442 0.4876 0.0467
0.2439 0.8420 0.8875
0.2551 0.9970 0.2047
0.2588 0.0092 0.5477
0.2735 0.4995 0.7068
0.2767 0.6550 0.3862
0.4419 0.2534 0.3681
0.4429 0.2467 0.8823
0.5571 0.7533 0.1177
0.5581 0.7466 0.6319
0.7233 0.3450 0.6138
0.7265 0.5005 0.2932
0.7412 0.9908 0.4523
0.7449 0.0030 0.7953
0.7561 0.1580 0.1125
0.7558 0.5124 0.9533
0.9429 0.7486 0.1392
0.9426 0.7607 0.6280
```

Calculated values
Crystal system: triclinic
E (eV for the cell shown): -237.09